*A*
# CuSI2, PBEsol geometry, DFT SCAN
# Space-group type: Cm, No. 8
data_CuSI2
_space_group_name_H-M_alt 'P 1'
_space_group_IT_number 1
_space_group_name_Hall 'P 1'
_cell_length_a 8.969
_cell_length_b 3.777
_cell_length_c 6.558
_cell_angle_alpha 90.00
_cell_angle_beta 104.65
_cell_angle_gamma 90.00
loop_
_atom_site_label
_atom_site_fract_x
_atom_site_fract_y
_atom_site_fract_z
Cu1 0.463 0.000 0.191
Cu2 0.463 0.500 0.691
S1 0.528 0.500 0.380
S2 0.528 0.000 0.880
I1 0.815 0.000 0.973
I2 0.168 0.500 0.582
I3 0.815 0.500 0.473
I4 0.168 0.000 0.082

---

*B*
# CuSI2, PBEsol geometry, DFT SCAN
# Space-group type: Fm-3m, No. 225
data_CuSI2
_space_group_name_H-M_alt 'P 1'
_space_group_IT_number 1
_space_group_name_Hall 'P 1'
_cell_length_a 4.976
_cell_length_b 4.976
_cell_length_c 4.976
_cell_angle_alpha 60.00
_cell_angle_beta 60.00
_cell_angle_gamma 60.00
loop_
_atom_site_label
_atom_site_fract_x
_atom_site_fract_y
_atom_site_fract_z
I1 0.750 0.750 0.750
I2 0.250 0.250 0.250
Cu1 0.500 0.500 0.500
S1 0.000 0.000 0.000

---

The least stable of them is *B*.

---

*A*
# In2CuW, PBEsol geometry, DFT SCAN
# Space-group type: C2/m, No. 12
data_In2CuW
_space_group_name_H-M_alt 'P 1'
_space_group_IT_number 1
_space_group_name_Hall 'P 1'
_cell_length_a 2.888
_cell_length_b 4.919
_cell_length_c 5.244
_cell_angle_alpha 103.11
_cell_angle_beta 90.00
_cell_angle_gamma 107.07
loop_
_atom_site_label
_atom_site_fract_x
_atom_site_fract_y
_atom_site_fract_z
Cu1 0.500 0.000 0.000
In1 0.240 0.481 0.245
In2 0.760 0.519 0.755
W1 0.000 0.000 0.500

---

*B*
# In2CuW, PBEsol geometry, DFT SCAN
# Space-group type: Imm2, No. 44
data_In2CuW
_space_group_name_H-M_alt 'P 1'
_space_group_IT_number 1
_space_group_name_Hall 'P 1'
_cell_length_a 3.002
_cell_length_b 4.663
_cell_length_c 5.686
_cell_angle_alpha 114.21
_cell_angle_beta 105.31
_cell_angle_gamma 90.00
loop_
_atom_site_label
_atom_site_fract_x
_atom_site_fract_y
_atom_site_fract_z
In1 0.980 0.980 0.960
In2 0.760 0.260 0.520
W1 0.523 0.523 0.045
Cu1 0.238 0.738 0.476

---

*C*
# In2CuW, PBEsol geometry, DFT SCAN
# Space-group type: P4/mmm, No. 123
data_In2CuW
_space_group_name_H-M_alt 'P 1'
_space_group_IT_number 1
_space_group_name_Hall 'P 1'
_cell_length_a 2.876
_cell_length_b 2.876
_cell_length_c 8.284
_cell_angle_alpha 90.00
_cell_angle_beta 90.00
_cell_angle_gamma 90.00
loop_
_atom_site_label
_atom_site_fract_x
_atom_site_fract_y
_atom_site_fract_z
W1 0.500 0.500 0.000
Cu1 0.500 0.500 0.500
In1 0.000 0.000 0.736
In2 0.000 0.000 0.264

---

*D*
# In2CuW, PBEsol geometry, DFT SCAN
# Space-group type: I-4m2, No. 119
data_In2CuW
_space_group_name_H-M_alt 'P 1'
_space_group_IT_number 1
_space_group_name_Hall 'P 1'
_cell_length_a 3.884
_cell_length_b 3.884
_cell_length_c 5.329
_cell_angle_alpha 111.37
_cell_angle_beta 111.37
_cell_angle_gamma 90.00
loop_
_atom_site_label
_atom_site_fract_x
_atom_site_fract_y
_atom_site_fract_z
Cu1 0.250 0.750 0.500
W1 0.500 0.500 0.000
In1 0.000 0.000 0.000
In2 0.750 0.250 0.500

---

The least stable of them is *A*.

---

*A*
# K2CuIr, PBEsol geometry, DFT SCAN
# Space-group type: Pmm2, No. 25
data_K2CuIr
_space_group_name_H-M_alt 'P 1'
_space_group_IT_number 1
_space_group_name_Hall 'P 1'
_cell_length_a 2.906
_cell_length_b 3.903
_cell_length_c 9.685
_cell_angle_alpha 90.00
_cell_angle_beta 90.00
_cell_angle_gamma 90.00
loop_
_atom_site_label
_atom_site_fract_x
_atom_site_fract_y
_atom_site_fract_z
K1 0.500 0.500 0.347
K2 0.000 0.000 0.901
Ir1 0.500 0.500 0.654
Cu1 0.000 0.000 0.599

---

*B*
# K2CuIr, PBEsol geometry, DFT SCAN
# Space-group type: P4/mmm, No. 123
data_K2CuIr
_space_group_name_H-M_alt 'P 1'
_space_group_IT_number 1
_space_group_name_Hall 'P 1'
_cell_length_a 2.600
_cell_length_b 6.010
_cell_length_c 6.010
_cell_angle_alpha 90.00
_cell_angle_beta 90.00
_cell_angle_gamma 90.00
loop_
_atom_site_label
_atom_site_fract_x
_atom_site_fract_y
_atom_site_fract_z
K1 0.000 0.500 0.000
K2 0.000 0.000 0.500
Ir1 0.500 0.000 0.000
Cu1 0.500 0.500 0.500

---

The least stable of them is *B*.

---

*A*
# MgCuIr, PBEsol geometry, DFT SCAN
# Space-group type: Imm2, No. 44
data_MgCuIr
_space_group_name_H-M_alt 'P 1'
_space_group_IT_number 1
_space_group_name_Hall 'P 1'
_cell_length_a 2.734
_cell_length_b 3.818
_cell_length_c 4.658
_cell_angle_alpha 114.19
_cell_angle_beta 107.07
_cell_angle_gamma 90.00
loop_
_atom_site_label
_atom_site_fract_x
_atom_site_fract_y
_atom_site_fract_z
Ir1 0.662 0.662 0.324
Cu1 0.006 0.006 0.013
Mg1 0.332 0.332 0.664

---

*B*
# MgCuIr, PBEsol geometry, DFT SCAN
# Space-group type: P3m1, No. 156
data_MgCuIr
_space_group_name_H-M_alt 'P 1'
_space_group_IT_number 1
_space_group_name_Hall 'P 1'
_cell_length_a 2.755
_cell_length_b 2.755
_cell_length_c 6.438
_cell_angle_alpha 90.00
_cell_angle_beta 90.00
_cell_angle_gamma 120.00
loop_
_atom_site_label
_atom_site_fract_x
_atom_site_fract_y
_atom_site_fract_z
Mg1 0.667 0.333 0.333
Cu1 0.000 0.000 0.997
Ir1 0.333 0.667 0.670

---

The least stable of them is *B*.

---

*A*
# Cu2IrOs, PBEsol geometry, DFT SCAN
# Space-group type: Pmmm, No. 47
data_Cu2IrOs
_space_group_name_H-M_alt 'P 1'
_space_group_IT_number 1
_space_group_name_Hall 'P 1'
_cell_length_a 2.616
_cell_length_b 3.745
_cell_length_c 5.255
_cell_angle_alpha 90.00
_cell_angle_beta 90.00
_cell_angle_gamma 90.00
loop_
_atom_site_label
_atom_site_fract_x
_atom_site_fract_y
_atom_site_fract_z
Cu1 0.000 0.000 0.749
Cu2 0.000 0.000 0.251
Os1 0.500 0.500 0.500
Ir1 0.500 0.500 0.000

---

*B*
# Cu2IrOs, PBEsol geometry, DFT SCAN
# Space-group type: C2/m, No. 12
data_Cu2IrOs
_space_group_name_H-M_alt 'P 1'
_space_group_IT_number 1
_space_group_name_Hall 'P 1'
_cell_length_a 2.618
_cell_length_b 4.597
_cell_length_c 5.101
_cell_angle_alpha 116.29
_cell_angle_beta 104.06
_cell_angle_gamma 91.74
loop_
_atom_site_label
_atom_site_fract_x
_atom_site_fract_y
_atom_site_fract_z
Ir1 0.500 0.000 0.000
Cu1 0.000 0.000 0.500
Cu2 0.500 0.500 0.500
Os1 0.000 0.500 0.000

---

The least stable of them is *A*.

---

*A*
# CuIrOs2, PBEsol geometry, DFT SCAN
# Space-group type: F-43m, No. 216
data_CuIrOs2
_space_group_name_H-M_alt 'P 1'
_space_group_IT_number 1
_space_group_name_Hall 'P 1'
_cell_length_a 4.264
_cell_length_b 4.264
_cell_length_c 4.264
_cell_angle_alpha 60.00
_cell_angle_beta 60.00
_cell_angle_gamma 60.00
loop_
_atom_site_label
_atom_site_fract_x
_atom_site_fract_y
_atom_site_fract_z
Ir1 0.250 0.250 0.250
Os1 0.750 0.750 0.750
Os2 0.000 0.000 0.000
Cu1 0.500 0.500 0.500

---

*B*
# CuIrOs2, PBEsol geometry, DFT SCAN
# Space-group type: P4/mmm, No. 123
data_CuIrOs2
_space_group_name_H-M_alt 'P 1'
_space_group_IT_number 1
_space_group_name_Hall 'P 1'
_cell_length_a 2.687
_cell_length_b 4.528
_cell_length_c 4.528
_cell_angle_alpha 90.00
_cell_angle_beta 90.00
_cell_angle_gamma 90.00
loop_
_atom_site_label
_atom_site_fract_x
_atom_site_fract_y
_atom_site_fract_z
Os1 0.000 0.000 0.500
Os2 0.000 0.500 0.000
Ir1 0.500 0.000 0.000
Cu1 0.500 0.500 0.500

---

*C*
# CuIrOs2, PBEsol geometry, DFT SCAN
# Space-group type: Immm, No. 71
data_CuIrOs2
_space_group_name_H-M_alt 'P 1'
_space_group_IT_number 1
_space_group_name_Hall 'P 1'
_cell_length_a 2.801
_cell_length_b 4.353
_cell_length_c 5.126
_cell_angle_alpha 115.13
_cell_angle_beta 105.86
_cell_angle_gamma 90.00
loop_
_atom_site_label
_atom_site_fract_x
_atom_site_fract_y
_atom_site_fract_z
Os1 0.230 0.230 0.460
Os2 0.770 0.770 0.540
Cu1 0.500 0.000 0.000
Ir1 0.000 0.500 0.000

---

The least stable of them is *B*.

---

*A*
# Cu2ReIr, PBEsol geometry, DFT SCAN
# Space-group type: C2/m, No. 12
data_Cu2ReIr
_space_group_name_H-M_alt 'P 1'
_space_group_IT_number 1
_space_group_name_Hall 'P 1'
_cell_length_a 2.674
_cell_length_b 4.564
_cell_length_c 4.555
_cell_angle_alpha 99.57
_cell_angle_beta 107.07
_cell_angle_gamma 90.00
loop_
_atom_site_label
_atom_site_fract_x
_atom_site_fract_y
_atom_site_fract_z
Cu1 0.750 0.752 0.501
Cu2 0.250 0.248 0.499
Re1 0.500 0.000 0.000
Ir1 0.000 0.500 0.000

---

*B*
# Cu2ReIr, PBEsol geometry, DFT SCAN
# Space-group type: P4/mmm, No. 123
data_Cu2ReIr
_space_group_name_H-M_alt 'P 1'
_space_group_IT_number 1
_space_group_name_Hall 'P 1'
_cell_length_a 2.852
_cell_length_b 4.225
_cell_length_c 4.225
_cell_angle_alpha 90.00
_cell_angle_beta 90.00
_cell_angle_gamma 90.00
loop_
_atom_site_label
_atom_site_fract_x
_atom_site_fract_y
_atom_site_fract_z
Cu1 0.000 0.000 0.500
Cu2 0.000 0.500 0.000
Ir1 0.500 0.500 0.500
Re1 0.500 0.000 0.000

---

The least stable of them is *B*.

---

*A*
# Cu2IrRh, PBEsol geometry, DFT SCAN
# Space-group type: P4mm, No. 99
data_Cu2IrRh
_space_group_name_H-M_alt 'P 1'
_space_group_IT_number 1
_space_group_name_Hall 'P 1'
_cell_length_a 2.687
_cell_length_b 2.687
_cell_length_c 7.014
_cell_angle_alpha 90.00
_cell_angle_beta 90.00
_cell_angle_gamma 90.00
loop_
_atom_site_label
_atom_site_fract_x
_atom_site_fract_y
_atom_site_fract_z
Rh1 0.500 0.500 0.755
Cu1 0.000 0.000 0.011
Cu2 0.500 0.500 0.238
Ir1 0.000 0.000 0.497

---

*B*
# Cu2IrRh, PBEsol geometry, DFT SCAN
# Space-group type: Pmm2, No. 25
data_Cu2IrRh
_space_group_name_H-M_alt 'P 1'
_space_group_IT_number 1
_space_group_name_Hall 'P 1'
_cell_length_a 2.658
_cell_length_b 3.712
_cell_length_c 5.187
_cell_angle_alpha 90.00
_cell_angle_beta 89.96
_cell_angle_gamma 90.00
loop_
_atom_site_label
_atom_site_fract_x
_atom_site_fract_y
_atom_site_fract_z
Cu1 0.000 0.000 0.012
Cu2 0.500 0.500 0.239
Ir1 0.000 0.000 0.508
Rh1 0.500 0.500 0.742

---

*C*
# Cu2IrRh, PBEsol geometry, DFT SCAN
# Space-group type: Cm, No. 8
data_Cu2IrRh
_space_group_name_H-M_alt 'P 1'
_space_group_IT_number 1
_space_group_name_Hall 'P 1'
_cell_length_a 2.683
_cell_length_b 4.465
_cell_length_c 4.543
_cell_angle_alpha 100.33
_cell_angle_beta 107.15
_cell_angle_gamma 90.02
loop_
_atom_site_label
_atom_site_fract_x
_atom_site_fract_y
_atom_site_fract_z
Cu1 0.999 0.978 0.998
Cu2 0.250 0.771 0.499
Rh1 0.752 0.271 0.504
Ir1 0.499 0.479 0.999

---

*D*
# Cu2IrRh, PBEsol geometry, DFT SCAN
# Space-group type: Pmmm, No. 47
data_Cu2IrRh
_space_group_name_H-M_alt 'P 1'
_space_group_IT_number 1
_space_group_name_Hall 'P 1'
_cell_length_a 2.660
_cell_length_b 4.351
_cell_length_c 4.485
_cell_angle_alpha 90.00
_cell_angle_beta 90.00
_cell_angle_gamma 90.00
loop_
_atom_site_label
_atom_site_fract_x
_atom_site_fract_y
_atom_site_fract_z
Cu1 0.000 0.000 0.000
Cu2 0.500 0.000 0.500
Ir1 0.500 0.500 0.000
Rh1 0.000 0.500 0.500

---

The least stable of them is *D*.

---

*A*
# CuIrRh2, PBEsol geometry, DFT SCAN
# Space-group type: Cmmm, No. 65
data_CuIrRh2
_space_group_name_H-M_alt 'P 1'
_space_group_IT_number 1
_space_group_name_Hall 'P 1'
_cell_length_a 2.661
_cell_length_b 4.602
_cell_length_c 4.602
_cell_angle_alpha 109.68
_cell_angle_beta 90.00
_cell_angle_gamma 90.00
loop_
_atom_site_label
_atom_site_fract_x
_atom_site_fract_y
_atom_site_fract_z
Rh1 0.000 0.500 0.000
Rh2 0.000 0.000 0.500
Cu1 0.500 0.000 0.000
Ir1 0.500 0.500 0.500

---

*B*
# CuIrRh2, PBEsol geometry, DFT SCAN
# Space-group type: P4/mmm, No. 123
data_CuIrRh2
_space_group_name_H-M_alt 'P 1'
_space_group_IT_number 1
_space_group_name_Hall 'P 1'
_cell_length_a 2.695
_cell_length_b 2.695
_cell_length_c 7.259
_cell_angle_alpha 90.00
_cell_angle_beta 90.00
_cell_angle_gamma 90.00
loop_
_atom_site_label
_atom_site_fract_x
_atom_site_fract_y
_atom_site_fract_z
Rh1 0.000 0.000 0.246
Rh2 0.000 0.000 0.754
Cu1 0.500 0.500 0.000
Ir1 0.500 0.500 0.500

---

The least stable of them is *A*.

---

*A*
# CuIrRh2, PBEsol geometry, DFT SCAN
# Space-group type: Cm, No. 8
data_CuIrRh2
_space_group_name_H-M_alt 'P 1'
_space_group_IT_number 1
_space_group_name_Hall 'P 1'
_cell_length_a 2.674
_cell_length_b 2.674
_cell_length_c 8.683
_cell_angle_alpha 81.21
_cell_angle_beta 81.21
_cell_angle_gamma 59.98
loop_
_atom_site_label
_atom_site_fract_x
_atom_site_fract_y
_atom_site_fract_z
Rh1 0.751 0.751 0.746
Rh2 0.000 0.000 0.999
Cu1 0.500 0.500 0.501
Ir1 0.249 0.249 0.254

---

*B*
# CuIrRh2, PBEsol geometry, DFT SCAN
# Space-group type: Cm, No. 8
data_CuIrRh2
_space_group_name_H-M_alt 'P 1'
_space_group_IT_number 1
_space_group_name_Hall 'P 1'
_cell_length_a 2.678
_cell_length_b 4.586
_cell_length_c 4.575
_cell_angle_alpha 99.76
_cell_angle_beta 107.02
_cell_angle_gamma 90.00
loop_
_atom_site_label
_atom_site_fract_x
_atom_site_fract_y
_atom_site_fract_z
Rh1 0.001 0.006 0.003
Rh2 0.251 0.743 0.503
Cu1 0.499 0.503 0.998
Ir1 0.748 0.247 0.496

---

The least stable of them is *A*.

---

*A*
# CuIrRh, PBEsol geometry, DFT SCAN
# Space-group type: P3m1, No. 156
data_CuIrRh
_space_group_name_H-M_alt 'P 1'
_space_group_IT_number 1
_space_group_name_Hall 'P 1'
_cell_length_a 2.634
_cell_length_b 4.174
_cell_length_c 4.174
_cell_angle_alpha 120.00
_cell_angle_beta 90.00
_cell_angle_gamma 90.00
loop_
_atom_site_label
_atom_site_fract_x
_atom_site_fract_y
_atom_site_fract_z
Cu1 0.022 0.000 0.000
Rh1 0.250 0.333 0.667
Ir1 0.728 0.667 0.333

---

*B*
# CuIrRh, PBEsol geometry, DFT SCAN
# Space-group type: Imm2, No. 44
data_CuIrRh
_space_group_name_H-M_alt 'P 1'
_space_group_IT_number 1
_space_group_name_Hall 'P 1'
_cell_length_a 2.686
_cell_length_b 3.722
_cell_length_c 4.546
_cell_angle_alpha 114.16
_cell_angle_beta 107.18
_cell_angle_gamma 90.00
loop_
_atom_site_label
_atom_site_fract_x
_atom_site_fract_y
_atom_site_fract_z
Cu1 0.001 0.001 0.001
Rh1 0.333 0.333 0.665
Ir1 0.667 0.667 0.333

---

*C*
# CuIrRh, PBEsol geometry, DFT SCAN
# Space-group type: P3m1, No. 156
data_CuIrRh
_space_group_name_H-M_alt 'P 1'
_space_group_IT_number 1
_space_group_name_Hall 'P 1'
_cell_length_a 2.664
_cell_length_b 2.664
_cell_length_c 6.417
_cell_angle_alpha 90.00
_cell_angle_beta 90.00
_cell_angle_gamma 120.00
loop_
_atom_site_label
_atom_site_fract_x
_atom_site_fract_y
_atom_site_fract_z
Ir1 0.333 0.667 0.669
Rh1 0.667 0.333 0.330
Cu1 0.000 0.000 0.001

---

The least stable of them is *A*.

---

*A*
# Cu2IrRu, PBEsol geometry, DFT SCAN
# Space-group type: P4mm, No. 99
data_Cu2IrRu
_space_group_name_H-M_alt 'P 1'
_space_group_IT_number 1
_space_group_name_Hall 'P 1'
_cell_length_a 2.694
_cell_length_b 2.694
_cell_length_c 6.962
_cell_angle_alpha 90.00
_cell_angle_beta 90.00
_cell_angle_gamma 90.00
loop_
_atom_site_label
_atom_site_fract_x
_atom_site_fract_y
_atom_site_fract_z
Ir1 0.000 0.000 0.500
Ru1 0.500 0.500 0.752
Cu1 0.500 0.500 0.237
Cu2 0.000 0.000 0.011

---

*B*
# Cu2IrRu, PBEsol geometry, DFT SCAN
# Space-group type: Cmmm, No. 65
data_Cu2IrRu
_space_group_name_H-M_alt 'P 1'
_space_group_IT_number 1
_space_group_name_Hall 'P 1'
_cell_length_a 2.594
_cell_length_b 2.594
_cell_length_c 8.753
_cell_angle_alpha 90.00
_cell_angle_beta 90.00
_cell_angle_gamma 117.94
loop_
_atom_site_label
_atom_site_fract_x
_atom_site_fract_y
_atom_site_fract_z
Cu1 0.000 0.000 0.752
Cu2 0.000 0.000 0.248
Ru1 0.500 0.500 0.000
Ir1 0.500 0.500 0.500

---

*C*
# Cu2IrRu, PBEsol geometry, DFT SCAN
# Space-group type: C2/m, No. 12
data_Cu2IrRu
_space_group_name_H-M_alt 'P 1'
_space_group_IT_number 1
_space_group_name_Hall 'P 1'
_cell_length_a 2.638
_cell_length_b 4.496
_cell_length_c 4.570
_cell_angle_alpha 99.62
_cell_angle_beta 90.00
_cell_angle_gamma 107.06
loop_
_atom_site_label
_atom_site_fract_x
_atom_site_fract_y
_atom_site_fract_z
Cu1 0.250 0.500 0.251
Cu2 0.750 0.500 0.749
Ir1 0.500 0.000 0.000
Ru1 0.000 0.000 0.500

---

The least stable of them is *B*.